# 1
# PBE Li2Pr3Ag2Pb4, optimized geometry
data_Li2Pr3Ag2Pb4
_cell_length_a 4.8855
_cell_length_b 4.8855
_cell_length_c 14.9097
_cell_angle_alpha 90.00
_cell_angle_beta 90.00
_cell_angle_gamma 120.00
_symmetry_space_group_name_H-M 'P 1'
_symmetry_Int_Tables_number 1
_symmetry_space_group_name_Hall 'P 1'
loop_
_atom_site_label
_atom_site_type_symbol
_atom_site_fract_x
_atom_site_fract_y
_atom_site_fract_z
_atom_site_occupancy
Pb1 Pb 0.6667 0.3333 0.6253 1
Pb2 Pb 0.3333 0.6667 0.3747 1
Pb3 Pb 0.6667 0.3333 0.1210 1
Pb4 Pb 0.3333 0.6667 0.8790 1
Pr1 Pr 0.0000 0.0000 0.0000 1
Pr2 Pr 0.0000 0.0000 0.2692 1
Pr3 Pr 0.0000 0.0000 0.7308 1
Li1 Li 0.6667 0.3333 0.4344 1
Li2 Li 0.3333 0.6667 0.5656 1
Ag1 Ag 0.3333 0.6667 0.1605 1
Ag2 Ag 0.6667 0.3333 0.8395 1
# **Magnetic moment**: 0.00 μB/cell
# **Space-group type**: No. 164
# **Energy of formation from the pure elements**: -3.484 eV/f.u.
# **DOS(E_F)**: 10.939 states/eV/cell

# 2
# PBE LiPrAgPb, optimized geometry
data_LiPrAgPb
_cell_length_a 5.2043
_cell_length_b 5.2043
_cell_length_c 5.2043
_cell_angle_alpha 60.00
_cell_angle_beta 60.00
_cell_angle_gamma 60.00
_symmetry_space_group_name_H-M 'P 1'
_symmetry_Int_Tables_number 1
_symmetry_space_group_name_Hall 'P 1'
loop_
_atom_site_label
_atom_site_type_symbol
_atom_site_fract_x
_atom_site_fract_y
_atom_site_fract_z
_atom_site_occupancy
Ag1 Ag 0.2500 0.2500 0.2500 1
Pb1 Pb 0.7500 0.7500 0.7500 1
Li1 Li 0.5000 0.5000 0.5000 1
Pr1 Pr 0.0000 0.0000 0.0000 1
# **Magnetic moment**: 0.00 μB/cell
# **Space-group type**: No. 216
# **Energy of formation from the pure elements**: -1.414 eV/f.u.
# **DOS(E_F)**: 2.042 states/eV/cell